PBE CsPaBi4, relaxed; space-group type = Cmcm, No. 63; calculated formation energy = -1.2 eV/f.u.; ρ = 8.95 g cm⁻³
1.0
2.1885 -12.8423 0.0000
2.1885 12.8423 0.0000
0.0000 0.0000 7.9224
Cs Pa Bi
2 2 8
Cartesian
2.1885 7.1250 5.9418
2.1885 -7.1250 1.9806
2.1885 11.4254 1.9806
2.1885 -11.4254 5.9418
2.1885 10.8968 5.9418
2.1885 3.3671 4.3441
2.1885 3.3671 7.5395
2.1885 0.0000 0.0000
2.1885 0.0000 3.9612
2.1885 -3.3671 0.3829
2.1885 -3.3671 3.5783
2.1885 -10.8968 1.9806